(i)
Eu2HgN after structural relaxation, computed with PBE.

CIF file:
```
data_Eu2HgN
_space_group_name_H-M_alt 'P 4/m m m'
_space_group_IT_number 123
_space_group_name_Hall '-P 4 2'
_cell_length_a 3.2517
_cell_length_b 3.2517
_cell_length_c 8.0949
_cell_angle_alpha 90.00
_cell_angle_beta 90.00
_cell_angle_gamma 90.00
loop_
_atom_site_label
_atom_site_fract_x
_atom_site_fract_y
_atom_site_fract_z
Eu1 0.0000 0.0000 0.1740
Hg1 0.5000 0.5000 0.5000
N1 0.5000 0.5000 0.0000
```

Output
The total magnetization is 14.1 μB/cell.



(ii)
Eu2HgN after structural relaxation, computed with PBE.

CIF file:
```
data_Eu2HgN
_space_group_name_H-M_alt 'R -3 m'
_space_group_IT_number 166
_space_group_name_Hall '-R 3 2"'
_cell_length_a 3.6855
_cell_length_b 3.6855
_cell_length_c 24.4668
_cell_angle_alpha 90.00
_cell_angle_beta 90.00
_cell_angle_gamma 120.00
loop_
_atom_site_label
_atom_site_fract_x
_atom_site_fract_y
_atom_site_fract_z
Eu1 0.0000 0.0000 0.2229
Hg1 0.0000 0.0000 0.0000
N1 0.0000 0.0000 0.5000
```

Output
The total magnetization is 43.3 μB/cell.



The least stable of them is (i).



(i)
NaEuHg2 after structural relaxation, computed with PBE.

CIF file:
```
data_NaEuHg2
_space_group_name_H-M_alt 'P 4/m m m'
_space_group_IT_number 123
_space_group_name_Hall '-P 4 2'
_cell_length_a 3.8256
_cell_length_b 3.8256
_cell_length_c 7.5813
_cell_angle_alpha 90.00
_cell_angle_beta 90.00
_cell_angle_gamma 90.00
loop_
_atom_site_label
_atom_site_fract_x
_atom_site_fract_y
_atom_site_fract_z
Na1 0.0000 0.0000 0.0000
Eu1 0.0000 0.0000 0.5000
Hg1 0.5000 0.5000 0.2410
```

Output
The total magnetization is 7.2 μB/cell.



(ii)
NaEuHg2 after structural relaxation, computed with PBE.

CIF file:
```
data_NaEuHg2
_space_group_name_H-M_alt 'F m -3 m'
_space_group_IT_number 225
_space_group_name_Hall '-F 4 2 3'
_cell_length_a 7.6230
_cell_length_b 7.6230
_cell_length_c 7.6230
_cell_angle_alpha 90.00
_cell_angle_beta 90.00
_cell_angle_gamma 90.00
loop_
_atom_site_label
_atom_site_fract_x
_atom_site_fract_y
_atom_site_fract_z
Na1 0.0000 0.0000 0.0000
Eu1 0.0000 0.0000 0.5000
Hg1 0.2500 0.2500 0.2500
```

Output
The total magnetization is 30.0 μB/cell.



(iii)
NaEuHg2 after structural relaxation, computed with PBE.

CIF file:
```
data_NaEuHg2
_space_group_name_H-M_alt 'R -3 m'
_space_group_IT_number 166
_space_group_name_Hall '-R 3 2"'
_cell_length_a 4.1494
_cell_length_b 4.1494
_cell_length_c 25.3073
_cell_angle_alpha 90.00
_cell_angle_beta 90.00
_cell_angle_gamma 120.00
loop_
_atom_site_label
_atom_site_fract_x
_atom_site_fract_y
_atom_site_fract_z
Na1 0.0000 0.0000 0.0000
Eu1 0.0000 0.0000 0.5000
Hg1 0.0000 0.0000 0.2532
```

Output
The total magnetization is 21.5 μB/cell.



The least stable of them is (iii).



(i)
Na2EuHg after structural relaxation, computed with PBE.

CIF file:
```
data_Na2EuHg
_space_group_name_H-M_alt 'R -3 m'
_space_group_IT_number 166
_space_group_name_Hall '-R 3 2"'
_cell_length_a 3.6489
_cell_length_b 3.6489
_cell_length_c 36.1023
_cell_angle_alpha 90.00
_cell_angle_beta 90.00
_cell_angle_gamma 120.00
loop_
_atom_site_label
_atom_site_fract_x
_atom_site_fract_y
_atom_site_fract_z
Na1 0.0000 0.0000 0.0988
Eu1 0.0000 0.0000 0.0000
Hg1 0.0000 0.0000 0.5000
```

Output
The total magnetization is 23.3 μB/cell.



(ii)
Na2EuHg after structural relaxation, computed with PBE.

CIF file:
```
data_Na2EuHg
_space_group_name_H-M_alt 'P 4/m m m'
_space_group_IT_number 123
_space_group_name_Hall '-P 4 2'
_cell_length_a 4.0608
_cell_length_b 4.0608
_cell_length_c 7.8982
_cell_angle_alpha 90.00
_cell_angle_beta 90.00
_cell_angle_gamma 90.00
loop_
_atom_site_label
_atom_site_fract_x
_atom_site_fract_y
_atom_site_fract_z
Na1 0.0000 0.0000 0.1974
Eu1 0.5000 0.5000 0.5000
Hg1 0.5000 0.5000 0.0000
```

Output
The total magnetization is 7.5 μB/cell.



(iii)
Na2EuHg after structural relaxation, computed with PBE.

CIF file:
```
data_Na2EuHg
_space_group_name_H-M_alt 'P 4/m m m'
_space_group_IT_number 123
_space_group_name_Hall '-P 4 2'
_cell_length_a 4.7451
_cell_length_b 4.7451
_cell_length_c 5.7335
_cell_angle_alpha 90.00
_cell_angle_beta 90.00
_cell_angle_gamma 90.00
loop_
_atom_site_label
_atom_site_fract_x
_atom_site_fract_y
_atom_site_fract_z
Na1 0.0000 0.5000 0.0000
Eu1 0.0000 0.0000 0.5000
Hg1 0.5000 0.5000 0.5000
```

Output
The total magnetization is 7.6 μB/cell.



The least stable of them is (i).



(i)
NaEuHg after structural relaxation, computed with PBE.

CIF file:
```
data_NaEuHg
_space_group_name_H-M_alt 'P 3 m 1'
_space_group_IT_number 156
_cell_length_a 5.2862
_cell_length_b 5.2862
_cell_length_c 3.8248
_cell_angle_alpha 90.00
_cell_angle_beta 90.00
_cell_angle_gamma 120.00
loop_
_space_group_symop_operation_xyz
'x,y,z'
'-y,x-y,z'
'-x+y,-x,z'
'-y,-x,z'
'-x+y,y,z'
'x,x-y,z'
loop_
_atom_site_label
_atom_site_fract_x
_atom_site_fract_y
_atom_site_fract_z
Na1 0.0000 0.0000 0.0000
Eu1 0.6667 0.3333 0.5037
Hg1 0.3333 0.6667 0.0088
```

Output
The total magnetization is 7.4 μB/cell.



(ii)
NaEuHg after structural relaxation, computed with PBE.

CIF file:
```
data_NaEuHg
_space_group_name_H-M_alt 'F -4 3 m'
_space_group_IT_number 216
_space_group_name_Hall 'F -4 2 3'
_cell_length_a 7.5312
_cell_length_b 7.5312
_cell_length_c 7.5312
_cell_angle_alpha 90.00
_cell_angle_beta 90.00
_cell_angle_gamma 90.00
loop_
_atom_site_label
_atom_site_fract_x
_atom_site_fract_y
_atom_site_fract_z
Na1 0.0000 0.0000 0.0000
Eu1 0.0000 0.0000 0.5000
Hg1 0.2500 0.2500 0.2500
```

Output
The total magnetization is 29.3 μB/cell.



The least stable of them is (ii).



(i)
NdEuHg after structural relaxation, computed with PBE.

CIF file:
```
data_NdEuHg
_space_group_name_H-M_alt 'F -4 3 m'
_space_group_IT_number 216
_space_group_name_Hall 'F -4 2 3'
_cell_length_a 7.5310
_cell_length_b 7.5310
_cell_length_c 7.5310
_cell_angle_alpha 90.00
_cell_angle_beta 90.00
_cell_angle_gamma 90.00
loop_
_atom_site_label
_atom_site_fract_x
_atom_site_fract_y
_atom_site_fract_z
Nd1 0.0000 0.0000 0.0000
Eu1 0.0000 0.0000 0.5000
Hg1 0.2500 0.2500 0.7500
```

Output
The total magnetization is 29.7 μB/cell.



(ii)
NdEuHg after structural relaxation, computed with PBE.

CIF file:
```
data_NdEuHg
_space_group_name_H-M_alt 'P 3 m 1'
_space_group_IT_number 156
_cell_length_a 5.3069
_cell_length_b 5.3069
_cell_length_c 3.8786
_cell_angle_alpha 90.00
_cell_angle_beta 90.00
_cell_angle_gamma 120.00
loop_
_space_group_symop_operation_xyz
'x,y,z'
'-y,x-y,z'
'-x+y,-x,z'
'-y,-x,z'
'-x+y,y,z'
'x,x-y,z'
loop_
_atom_site_label
_atom_site_fract_x
_atom_site_fract_y
_atom_site_fract_z
Nd1 0.0000 0.0000 0.0000
Eu1 0.3333 0.6667 0.4388
Hg1 0.6667 0.3333 0.7599
```

Output
The total magnetization is 7.2 μB/cell.



(iii)
NdEuHg after structural relaxation, computed with PBE.

CIF file:
```
data_NdEuHg
_space_group_name_H-M_alt 'I 4 m m'
_space_group_IT_number 107
_space_group_name_Hall 'I 4 -2'
_cell_length_a 3.8527
_cell_length_b 3.8527
_cell_length_c 13.1674
_cell_angle_alpha 90.00
_cell_angle_beta 90.00
_cell_angle_gamma 90.00
loop_
_atom_site_label
_atom_site_fract_x
_atom_site_fract_y
_atom_site_fract_z
Nd1 0.0000 0.0000 0.0000
Eu1 0.0000 0.0000 0.7133
Hg1 0.0000 0.0000 0.3646
```

Output
The total magnetization is 15.1 μB/cell.



The least stable of them is (i).



(i)
Nd2EuHg after structural relaxation, computed with PBE.

CIF file:
```
data_Nd2EuHg
_space_group_name_H-M_alt 'P 4/m m m'
_space_group_IT_number 123
_space_group_name_Hall '-P 4 2'
_cell_length_a 5.0438
_cell_length_b 5.0438
_cell_length_c 4.8578
_cell_angle_alpha 90.00
_cell_angle_beta 90.00
_cell_angle_gamma 90.00
loop_
_atom_site_label
_atom_site_fract_x
_atom_site_fract_y
_atom_site_fract_z
Nd1 0.0000 0.5000 0.0000
Eu1 0.0000 0.0000 0.5000
Hg1 0.5000 0.5000 0.5000
```

Output
The total magnetization is 7.2 μB/cell.



(ii)
Nd2EuHg after structural relaxation, computed with PBE.

CIF file:
```
data_Nd2EuHg
_space_group_name_H-M_alt 'F m -3 m'
_space_group_IT_number 225
_space_group_name_Hall '-F 4 2 3'
_cell_length_a 7.9061
_cell_length_b 7.9061
_cell_length_c 7.9061
_cell_angle_alpha 90.00
_cell_angle_beta 90.00
_cell_angle_gamma 90.00
loop_
_atom_site_label
_atom_site_fract_x
_atom_site_fract_y
_atom_site_fract_z
Nd1 0.2500 0.2500 0.2500
Eu1 0.0000 0.0000 0.0000
Hg1 0.0000 0.0000 0.5000
```

Output
The total magnetization is 28.7 μB/cell.



(iii)
Nd2EuHg after structural relaxation, computed with PBE.

CIF file:
```
data_Nd2EuHg
_space_group_name_H-M_alt 'P 4/m m m'
_space_group_IT_number 123
_space_group_name_Hall '-P 4 2'
_cell_length_a 3.8320
_cell_length_b 3.8320
_cell_length_c 8.9989
_cell_angle_alpha 90.00
_cell_angle_beta 90.00
_cell_angle_gamma 90.00
loop_
_atom_site_label
_atom_site_fract_x
_atom_site_fract_y
_atom_site_fract_z
Nd1 0.0000 0.0000 0.2087
Eu1 0.5000 0.5000 0.5000
Hg1 0.5000 0.5000 0.0000
```

Output
The total magnetization is 7.9 μB/cell.



The least stable of them is (ii).